Entry from the Alexandria database: an optimized crystal structure of Ba8Pt3I3Br (PBE).

```
data_Ba8Pt3I3Br
_chemical_formula_sum 'Ba16 Pt6 I6 Br2'
_cell_length_a 16.5140
_cell_length_b 9.5376
_cell_length_c 9.9828
_cell_angle_alpha 90.00
_cell_angle_beta 123.48
_cell_angle_gamma 90.00
_space_group_name_H-M_alt 'C 1 2/m 1'
_space_group_IT_number 12
loop_
_space_group_symop_operation_xyz
'x,y,z'
'-x,-y,-z'
'-x,y,-z'
'x,-y,z'
'x+1/2,y+1/2,z'
'-x+1/2,-y+1/2,-z'
'-x+1/2,y+1/2,-z'
'x+1/2,-y+1/2,z'
loop_
_atom_site_label
_atom_site_type_symbol
_atom_site_fract_x
_atom_site_fract_y
_atom_site_fract_z
Ba1 Ba 0.0187 0.2307 0.2876
Ba2 Ba 0.2345 0.0000 0.7018
Ba3 Ba 0.2495 0.0000 0.2868
Pt1 Pt 0.0000 0.0000 0.5000
Pt2 Pt 0.2500 0.2500 0.5000
I1 I 0.0000 0.5000 0.0000
I2 I 0.2500 0.2500 0.0000
Br1 Br 0.0000 0.5000 0.5000
```

Properties
* crystal system: monoclinic
* E_form (uncorrected): -1.1151 eV/atom
* size of the total moment: 0.3 μB per cell

Entry from the Alexandria database: an optimized crystal structure of Rb2BaI6Br (PBE).

```
data_Rb2BaI6Br
_chemical_formula_sum 'Rb4 Ba2 I12 Br2'
_cell_length_a 9.6954
_cell_length_b 9.6954
_cell_length_c 12.2131
_cell_angle_alpha 90.00
_cell_angle_beta 90.00
_cell_angle_gamma 90.00
_space_group_name_H-M_alt 'I 4/m m m'
_space_group_IT_number 139
_space_group_name_Hall '-I 4 2'
loop_
_atom_site_label
_atom_site_type_symbol
_atom_site_fract_x
_atom_site_fract_y
_atom_site_fract_z
Rb1 Rb 0.0000 0.5000 0.2500
Ba1 Ba 0.0000 0.0000 0.0000
I1 I 0.0000 0.0000 0.2782
I2 I 0.2426 0.2426 0.0000
Br1 Br 0.0000 0.0000 0.5000
```

Properties
* crystal system: tetragonal
* E_form (uncorrected): -0.8948 eV/atom
* size of the total moment: 0.0 μB per cell

Entry from the Alexandria database: an optimized crystal structure of Rb2BaIBr6 (PBE).

```
data_Rb2BaIBr6
_chemical_formula_sum 'Rb4 Ba2 I2 Br12'
_cell_length_a 9.2500
_cell_length_b 9.2500
_cell_length_c 11.6858
_cell_angle_alpha 90.00
_cell_angle_beta 90.00
_cell_angle_gamma 90.00
_space_group_name_H-M_alt 'I 4/m m m'
_space_group_IT_number 139
_space_group_name_Hall '-I 4 2'
loop_
_atom_site_label
_atom_site_type_symbol
_atom_site_fract_x
_atom_site_fract_y
_atom_site_fract_z
Rb1 Rb 0.0000 0.5000 0.2500
Ba1 Ba 0.0000 0.0000 0.0000
I1 I 0.0000 0.0000 0.5000
Br1 Br 0.0000 0.0000 0.2728
Br2 Br 0.2381 0.2381 0.0000
```

Properties
* crystal system: tetragonal
* E_form (uncorrected): -1.1602 eV/atom
* size of the total moment: 2.0 μB per cell

Entry from the Alexandria database: an optimized crystal structure of RbBa2IBr (PBE).

```
data_RbBa2IBr
_chemical_formula_sum 'Rb1 Ba2 I1 Br1'
_cell_length_a 6.2543
_cell_length_b 6.2543
_cell_length_c 7.9791
_cell_angle_alpha 90.00
_cell_angle_beta 90.00
_cell_angle_gamma 90.00
_space_group_name_H-M_alt 'P 4/m m m'
_space_group_IT_number 123
_space_group_name_Hall '-P 4 2'
loop_
_atom_site_label
_atom_site_type_symbol
_atom_site_fract_x
_atom_site_fract_y
_atom_site_fract_z
Rb1 Rb 0.0000 0.0000 0.0000
Ba1 Ba 0.0000 0.5000 0.5000
I1 I 0.5000 0.5000 0.0000
Br1 Br 0.5000 0.5000 0.5000
```

Properties
* crystal system: tetragonal
* E_form (uncorrected): -0.8443 eV/atom
* size of the total moment: 0.0 μB per cell

Entry from the Alexandria database: an optimized crystal structure of Ba4RhIBr2 (PBE).

```
data_Ba4RhIBr2
_chemical_formula_sum 'Ba4 Rh1 I1 Br2'
_cell_length_a 8.4770
_cell_length_b 4.5881
_cell_length_c 8.7910
_cell_angle_alpha 90.00
_cell_angle_beta 106.30
_cell_angle_gamma 90.00
_space_group_name_H-M_alt 'P 1 2/m 1'
_space_group_IT_number 10
loop_
_space_group_symop_operation_xyz
'x,y,z'
'-x,-y,-z'
'-x,y,-z'
'x,-y,z'
loop_
_atom_site_label
_atom_site_type_symbol
_atom_site_fract_x
_atom_site_fract_y
_atom_site_fract_z
Ba1 Ba 0.2213 0.0000 0.2108
Ba2 Ba 0.2220 0.5000 0.7916
Rh1 Rh 0.0000 0.5000 0.0000
I1 I 0.0000 0.0000 0.5000
Br1 Br 0.5000 0.0000 0.0000
Br2 Br 0.5000 0.5000 0.5000
```

Properties
* crystal system: monoclinic
* E_form (uncorrected): -1.2106 eV/atom
* size of the total moment: 0.0 μB per cell

Entry from the Alexandria database: an optimized crystal structure of Ba6Rh2IBr3 (PBE).

```
data_Ba6Rh2IBr3
_chemical_formula_sum 'Ba12 Rh4 I2 Br6'
_cell_length_a 20.9393
_cell_length_b 4.5920
_cell_length_c 10.1288
_cell_angle_alpha 90.00
_cell_angle_beta 104.31
_cell_angle_gamma 90.00
_space_group_name_H-M_alt 'C 1 2/m 1'
_space_group_IT_number 12
loop_
_space_group_symop_operation_xyz
'x,y,z'
'-x,-y,-z'
'-x,y,-z'
'x,-y,z'
'x+1/2,y+1/2,z'
'-x+1/2,-y+1/2,-z'
'-x+1/2,y+1/2,-z'
'x+1/2,-y+1/2,z'
loop_
_atom_site_label
_atom_site_type_symbol
_atom_site_fract_x
_atom_site_fract_y
_atom_site_fract_z
Ba1 Ba 0.0245 0.0000 0.2733
Ba2 Ba 0.1769 0.5000 0.5635
Ba3 Ba 0.1782 0.5000 0.1321
Rh1 Rh 0.1660 0.0000 0.3351
I1 I 0.0000 0.5000 0.0000
Br1 Br 0.0000 0.5000 0.5000
Br2 Br 0.1553 0.0000 0.8395
```

Properties
* crystal system: monoclinic
* E_form (uncorrected): -1.1464 eV/atom
* size of the total moment: 0.0 μB per cell

Entry from the Alexandria database: an optimized crystal structure of Ba6Rh2I3Br (PBE).

```
data_Ba6Rh2I3Br
_chemical_formula_sum 'Ba12 Rh4 I6 Br2'
_cell_length_a 21.6455
_cell_length_b 4.6324
_cell_length_c 10.3464
_cell_angle_alpha 90.00
_cell_angle_beta 107.35
_cell_angle_gamma 90.00
_space_group_name_H-M_alt 'C 1 2/m 1'
_space_group_IT_number 12
loop_
_space_group_symop_operation_xyz
'x,y,z'
'-x,-y,-z'
'-x,y,-z'
'x,-y,z'
'x+1/2,y+1/2,z'
'-x+1/2,-y+1/2,-z'
'-x+1/2,y+1/2,-z'
'x+1/2,-y+1/2,z'
loop_
_atom_site_label
_atom_site_type_symbol
_atom_site_fract_x
_atom_site_fract_y
_atom_site_fract_z
Ba1 Ba 0.0257 0.0000 0.2566
Ba2 Ba 0.1714 0.5000 0.1337
Ba3 Ba 0.1793 0.5000 0.5565
Rh1 Rh 0.1645 0.0000 0.3319
I1 I 0.0000 0.5000 0.5000
I2 I 0.1561 0.0000 0.8373
Br1 Br 0.0000 0.5000 0.0000
```

Properties
* crystal system: monoclinic
* E_form (uncorrected): -1.0711 eV/atom
* size of the total moment: 0.0 μB per cell

Entry from the Alexandria database: an optimized crystal structure of Ba8Rh3I4Br (PBE).

```
data_Ba8Rh3I4Br
_chemical_formula_sum 'Ba24 Rh9 I12 Br3'
_cell_length_a 9.3871
_cell_length_b 9.3871
_cell_length_c 25.6074
_cell_angle_alpha 90.00
_cell_angle_beta 90.00
_cell_angle_gamma 120.00
_space_group_name_H-M_alt 'R -3 m'
_space_group_IT_number 166
_space_group_name_Hall '-R 3 2"'
loop_
_atom_site_label
_atom_site_type_symbol
_atom_site_fract_x
_atom_site_fract_y
_atom_site_fract_z
Ba1 Ba 0.0000 0.0000 0.2355
Ba2 Ba 0.0232 0.5116 0.7672
Rh1 Rh 0.0000 0.5000 0.5000
I1 I 0.0000 0.0000 0.0000
I2 I 0.0000 0.5000 0.0000
Br1 Br 0.0000 0.0000 0.5000
```

Properties
* crystal system: trigonal
* E_form (uncorrected): -0.9959 eV/atom
* size of the total moment: 0.0 μB per cell

Entry from the Alexandria database: an optimized crystal structure of Ba6RhI3Br2 (PBE).

```
data_Ba6RhI3Br2
_chemical_formula_sum 'Ba12 Rh2 I6 Br4'
_cell_length_a 8.5464
_cell_length_b 14.5529
_cell_length_c 8.7236
_cell_angle_alpha 90.00
_cell_angle_beta 108.13
_cell_angle_gamma 90.00
_space_group_name_H-M_alt 'C 1 2/m 1'
_space_group_IT_number 12
loop_
_space_group_symop_operation_xyz
'x,y,z'
'-x,-y,-z'
'-x,y,-z'
'x,-y,z'
'x+1/2,y+1/2,z'
'-x+1/2,-y+1/2,-z'
'-x+1/2,y+1/2,-z'
'x+1/2,-y+1/2,z'
loop_
_atom_site_label
_atom_site_type_symbol
_atom_site_fract_x
_atom_site_fract_y
_atom_site_fract_z
Ba1 Ba 0.2183 0.1504 0.2090
Ba2 Ba 0.2230 0.0000 0.7782
Rh1 Rh 0.0000 0.0000 0.0000
I1 I 0.0000 0.1808 0.5000
I2 I 0.0000 0.5000 0.5000
Br1 Br 0.0000 0.3377 0.0000
```

Properties
* crystal system: monoclinic
* E_form (uncorrected): -1.2561 eV/atom
* size of the total moment: 6.7 μB per cell

Entry from the Alexandria database: an optimized crystal structure of Ba6Sb3I2Br (PBE).

```
data_Ba6Sb3I2Br
_chemical_formula_sum 'Ba12 Sb6 I4 Br2'
_cell_length_a 22.0959
_cell_length_b 5.0673
_cell_length_c 10.1497
_cell_angle_alpha 90.00
_cell_angle_beta 103.20
_cell_angle_gamma 90.00
_space_group_name_H-M_alt 'C 1 2/m 1'
_space_group_IT_number 12
loop_
_space_group_symop_operation_xyz
'x,y,z'
'-x,-y,-z'
'-x,y,-z'
'x,-y,z'
'x+1/2,y+1/2,z'
'-x+1/2,-y+1/2,-z'
'-x+1/2,y+1/2,-z'
'x+1/2,-y+1/2,z'
loop_
_atom_site_label
_atom_site_type_symbol
_atom_site_fract_x
_atom_site_fract_y
_atom_site_fract_z
Ba1 Ba 0.0076 0.0000 0.2378
Ba2 Ba 0.1596 0.5000 0.1011
Ba3 Ba 0.1716 0.5000 0.5640
Sb1 Sb 0.0000 0.5000 0.0000
Sb2 Sb 0.1675 0.0000 0.3338
I1 I 0.1660 0.0000 0.8324
Br1 Br 0.0000 0.5000 0.5000
```

Properties
* crystal system: monoclinic
* E_form (uncorrected): -1.4333 eV/atom
* size of the total moment: 0.0 μB per cell

Entry from the Alexandria database: an optimized crystal structure of BaSb2IBr (PBE).

```
data_BaSb2IBr
_chemical_formula_sum 'Ba1 Sb2 I1 Br1'
_cell_length_a 5.4210
_cell_length_b 5.4210
_cell_length_c 7.1103
_cell_angle_alpha 90.00
_cell_angle_beta 90.00
_cell_angle_gamma 90.00
_space_group_name_H-M_alt 'P 4/m m m'
_space_group_IT_number 123
_space_group_name_Hall '-P 4 2'
loop_
_atom_site_label
_atom_site_type_symbol
_atom_site_fract_x
_atom_site_fract_y
_atom_site_fract_z
Ba1 Ba 0.0000 0.0000 0.0000
Sb1 Sb 0.0000 0.5000 0.5000
I1 I 0.5000 0.5000 0.0000
Br1 Br 0.5000 0.5000 0.5000
```

Properties
* relative energy among the computed polymorphs: 0 kJ/mol of formula units
* crystal system: tetragonal
* E_form (uncorrected): -0.1657 eV/atom
* size of the total moment: 0.2 μB per cell